The following is a GGA+U calculation of a relaxed MnPO4 crystal, from Alexandria.

## Properties
Space group: C2/c, No. 15
DFT total energy: -7.428 eV per atom

a b c (Å): 4.7446 4.7447 6.6748
angles (deg): 86.70 93.30 68.35
Last column: magnetic moment on the atom in μB.
Fractional coordinates of all 12 atoms:
O  0.7784  0.2986  0.7677  -0.01
O  0.7581  0.7655  0.9427  -0.02
O  0.2216  0.7014  0.2323  -0.01
O  0.7014  0.2216  0.2677  -0.01
O  0.2345  0.2419  0.4427  -0.02
O  0.2986  0.7784  0.7323  -0.01
O  0.2419  0.2345  0.0573  -0.02
O  0.7655  0.7581  0.5573  -0.02
P  0.3442  0.3442  0.2500  0.01
P  0.6558  0.6558  0.7500  0.01
Mn  0.0000  0.0000  0.0000  3.91
Mn  0.0000  0.0000  0.5000  3.91